AcPm | OQMD via LeMat-Bulk | GGA-PBE | optimized geometry; E above lowest polymorph = 1596 meV per atom; calculated formation energy = 3.3 eV per formula unit
1.0
0.000 3.610 3.610
3.610 0.000 3.610
3.610 3.610 0.000
Ac Pm
1 1
Direct
0.000 0.000 0.000 Ac
0.750 0.750 0.750 Pm

AcPmPt | OQMD via LeMat-Bulk | GGA-PBE | optimized geometry; calculated formation energy = -0.3 eV per formula unit
1.0
0.000 3.525 3.525
3.525 0.000 3.525
3.525 3.525 0.000
Ac Pm Pt
1 1 1
Direct
0.000 0.000 0.000 Ac
0.250 0.250 0.250 Pm
0.500 0.500 0.500 Pt

What did the first record say?
AcPm | OQMD via LeMat-Bulk | GGA-PBE | optimized geometry; E above lowest polymorph = 1596 meV per atom; calculated formation energy = 3.3 eV per formula unit
1.0
0.000 3.610 3.610
3.610 0.000 3.610
3.610 3.610 0.000
Ac Pm
1 1
Direct
0.000 0.000 0.000 Ac
0.750 0.750 0.750 Pm